Compound: CrSb
Source: Alexandria via LeMat-Bulk
Functional: PBE
Structure: relaxed

a b c (Å): 7.040 7.040 7.040
angles (deg): 90.00 90.00 90.00
Space group Fd-3m (No. 227, origin choice 2)
Asymmetric unit:
1 Cr 0.125 0.125 0.125 (multiplicity 8)
2 Sb 0.125 0.125 0.625 (multiplicity 8)

Values from the calculation:
DFT total energy = -6.1168 eV/atom

***

Compound: NiHg2Br
Source: Alexandria via LeMat-Bulk
Functional: PBE
Structure: relaxed

a b c (Å): 3.113 4.219 13.746
angles (deg): 90.00 90.00 90.00
Space group Immm (No. 71)
Asymmetric unit:
1 Ni 0.000 0.000 0.000 (multiplicity 2)
2 Hg 0.000 0.500 0.317 (multiplicity 4)
3 Br 0.000 0.000 0.500 (multiplicity 2)

Values from the calculation:
DFT total energy = -1.8274 eV/atom
distance to the lowest polymorph of the same formula = 0.140 eV per atom

***

Sequential D(E_F) output: 0.912 0.653 states/eV per atom